[1]
This record from Alexandria describes a geometry-optimized InFeSi2 structure. The functional is PBE-GGA.

Results
Total DFT energy (no corrections) (eV/atom): -5.01
Total magnetic moment (μB/cell): 4.38

Unit cell a=3.9957 b=3.9957 c=7.9509 alpha=90.00 beta=90.00 gamma=90.00
Space group I4/mmm (No. 139)
Asymmetric unit:
In 0.0000 0.0000 0.0000
Fe 0.0000 0.0000 0.5000
Si 0.0000 0.5000 0.2500


[2]
This record from Alexandria describes a geometry-optimized SrPtCl2 structure. The functional is PBE-GGA.

Results
Relative energy among the computed polymorphs (meV per atom): 668
Total magnetic moment (μB/cell): 0.00

Unit cell a=4.5651 b=6.8669 c=6.5326 alpha=90.00 beta=90.00 gamma=90.00
Space group Cmmm (No. 65)
Asymmetric unit:
Sr 0.0000 0.0000 0.0000
Pt 0.0000 0.0000 0.5000
Cl 0.0000 0.5000 0.2631


[3]
This record from Alexandria describes a geometry-optimized KV2S4 structure. The functional is PBE-GGA.

Results
Relative energy among the computed polymorphs (meV per atom): 0
Total magnetic moment (μB/cell): 3.02

Unit cell a=5.8625 b=3.4208 c=7.8087 alpha=90.00 beta=99.42 gamma=90.00
Space group Pm (No. 6)
Asymmetric unit:
K 0.0000 0.0000 0.0000
V 0.1892 0.0000 0.5083
V 0.6328 0.5000 0.5085
S 0.0293 0.5000 0.6717
S 0.2854 0.5000 0.3139
S 0.5352 0.0000 0.7031
S 0.7913 0.0000 0.3448